A plane-wave DFT calculation with PBE was carried out for RbNdZnSe3 after structural relaxation.

ΔE_f (raw)	-1.37	eV per atom
space-group type	No. 11

abc: 4.2600 9.5314 10.1086
angles: 107.93 90.00 90.00
Element x y z (fractional)
Rb: 0.7500 0.7949 0.7653
Rb: 0.2500 0.2051 0.2347
Se: 0.7500 0.4610 0.1590
Se: 0.7500 0.1903 0.5329
Se: 0.2500 0.1112 0.8560
Se: 0.2500 0.5390 0.8410
Se: 0.7500 0.8888 0.1440
Se: 0.2500 0.8097 0.4671
Nd: 0.2500 0.6696 0.1437
Nd: 0.7500 0.3304 0.8563
Zn: 0.7500 0.9175 0.3923
Zn: 0.2500 0.0825 0.6077

***

A plane-wave DFT calculation with PBE was carried out for Rb2NdZn2Se4 after structural relaxation.

ΔE_f (raw)	-1.09	eV per atom
space-group type	No. 12

abc: 4.3664 8.2035 8.3344
angles: 109.22 105.19 90.00
Element x y z (fractional)
Se: 0.2014 0.1666 0.4028
Se: 0.5247 0.7684 0.0494
Se: 0.4753 0.2316 0.9506
Se: 0.7986 0.8334 0.5972
Rb: 0.8694 0.4432 0.7389
Rb: 0.1306 0.5568 0.2611
Zn: 0.3236 0.0100 0.6472
Zn: 0.6764 0.9900 0.3528
Nd: 0.0000 0.0000 0.0000

***

A plane-wave DFT calculation with PBE was carried out for Rb2NdZrSe4 after structural relaxation.

ΔE_f (raw)	-1.48	eV per atom
space-group type	No. 10

abc: 4.1413 7.2451 8.3995
angles: 106.34 90.00 90.00
Element x y z (fractional)
Se: 0.5000 0.2140 0.1941
Se: 0.5000 0.7860 0.8059
Se: 0.0000 0.7529 0.2013
Se: 0.0000 0.2471 0.7987
Nd: 0.5000 0.5000 0.0000
Rb: 0.5000 0.0000 0.5000
Rb: 0.0000 0.5000 0.5000
Zr: 0.0000 0.0000 0.0000

***

A plane-wave DFT calculation with PBE was carried out for Rb2Nd2ZrSe6 after structural relaxation.

ΔE_f (raw)	-1.62	eV per atom
space-group type	No. 12

abc: 7.2446 7.2446 8.5692
angles: 98.48 98.48 119.44
Element x y z (fractional)
Rb: 0.8287 0.1713 0.0000
Rb: 0.1713 0.8287 0.0000
Zr: 0.0000 0.0000 0.5000
Nd: 0.3332 0.6668 0.5000
Nd: 0.6668 0.3332 0.5000
Se: 0.6225 0.9325 0.3064
Se: 0.2418 0.2418 0.3080
Se: 0.3775 0.0675 0.6936
Se: 0.7582 0.7582 0.6920
Se: 0.0675 0.3775 0.6936
Se: 0.9325 0.6225 0.3064